The following is a PBE-GGA calculation of a relaxed SrPbClO2 crystal, from Alexandria.

Lattice parameters (Å, degrees): 4.3268 6.8090 8.2428 83.12 90.00 90.00
With the nearest neighbours (Å) after each atom.
Positions (direct):
Sr 0.7500 0.1906 0.5994  4 O 2.47-2.68
Sr 0.2500 0.8094 0.4006  4 O 2.47-2.68
Pb 0.2500 0.8610 0.8767  4 O 2.13-2.33
Pb 0.7500 0.1390 0.1233  4 O 2.13-2.33
Cl 0.7500 0.5133 0.2973  1 Pb 3.07, 3 Sr 3.12-3.14, 1 O 3.38
Cl 0.2500 0.4867 0.7027  1 Pb 3.07, 3 Sr 3.12-3.14, 1 O 3.38
O 0.7500 0.9812 0.8963  3 Pb 2.27-2.33
O 0.2500 0.0188 0.1037  3 Pb 2.27-2.33
O 0.2500 0.0073 0.6329  1 Pb 2.13
O 0.7500 0.9927 0.3671  1 Pb 2.13

Computed properties:
Formation energy (no corrections), eV per atom: -1.745
Total magnetization, Bohr magnetons per cell: 0.00
ρ, kg/m3: 4990